# 1
Computed, not measured: a geometry-optimized IrPdO6 structure at the PBE level of DFT.

Output
Density of states at the Fermi level, states/eV per atom: 0.4516
Crystal system: trigonal
Formation energy without anion corrections, kJ per mole of atoms: -21

abc: 5.151 5.151 5.151
angles: 56.80 56.80 56.80
Atoms (fractional coordinates):
Ir  0.000  0.000  0.000
Pd  0.500  0.500  0.500
O  0.077  0.405  0.763
O  0.237  0.923  0.595
O  0.405  0.763  0.077
O  0.595  0.237  0.923
O  0.763  0.077  0.405
O  0.923  0.595  0.237

***

# 2
Computed, not measured: a geometry-optimized IrPdO3 structure at the PBE level of DFT.

Output
Density of states at the Fermi level, states/eV per atom: 1.3699
Crystal system: cubic
Formation energy without anion corrections, kJ per mole of atoms: 7

abc: 3.870 3.870 3.870
angles: 90.00 90.00 90.00
Atoms (fractional coordinates):
Ir  0.000  0.000  0.000
Pd  0.500  0.500  0.500
O  0.000  0.000  0.500
O  0.000  0.500  0.000
O  0.500  0.000  0.000

***

# 3
Computed, not measured: a geometry-optimized PmIrPdO6 structure at the PBE level of DFT.

Output
Density of states at the Fermi level, states/eV per atom: 0.4989
Crystal system: trigonal
Formation energy without anion corrections, kJ per mole of atoms: -128

abc: 5.275 5.275 10.032
angles: 90.00 90.00 120.00
Atoms (fractional coordinates):
Pm  0.000  0.000  0.000
Pm  0.000  0.000  0.500
Ir  0.333  0.667  0.250
Ir  0.667  0.333  0.750
Pd  0.333  0.667  0.750
Pd  0.667  0.333  0.250
O  0.009  0.365  0.142
O  0.009  0.644  0.358
O  0.356  0.365  0.358
O  0.356  0.991  0.142
O  0.365  0.009  0.642
O  0.365  0.356  0.858
O  0.635  0.644  0.142
O  0.635  0.991  0.358
O  0.644  0.009  0.858
O  0.644  0.635  0.642
O  0.991  0.356  0.642
O  0.991  0.635  0.858

***

# 4
Computed, not measured: a geometry-optimized IrPdPt2O structure at the PBE level of DFT.

Output
Density of states at the Fermi level, states/eV per atom: 1.4645
Crystal system: tetragonal
Formation energy without anion corrections, kJ per mole of atoms: 59

abc: 5.021 5.021 3.580
angles: 90.00 90.00 90.00
Atoms (fractional coordinates):
Ir  0.000  0.000  0.000
Pd  0.500  0.500  0.500
Pt  0.000  0.500  0.000
Pt  0.500  0.000  0.000
O  0.000  0.000  0.500

***

# 5
Computed, not measured: a geometry-optimized Rb2IrPdO4 structure at the PBE level of DFT.

Output
Density of states at the Fermi level, states/eV per atom: 0.4085
Crystal system: tetragonal
Formation energy without anion corrections, kJ per mole of atoms: -72

abc: 5.769 5.769 5.769
angles: 112.68 112.68 103.22
Atoms (fractional coordinates):
Rb  0.000  0.000  0.000
Rb  0.750  0.250  0.500
Ir  0.500  0.500  0.000
Pd  0.250  0.750  0.500
O  0.306  0.690  0.128
O  0.310  0.438  0.616
O  0.562  0.178  0.872
O  0.822  0.694  0.384

***

# 6
Computed, not measured: a geometry-optimized IrPdRhO6 structure at the PBE level of DFT.

Output
Density of states at the Fermi level, states/eV per atom: 0.8738
Crystal system: trigonal
Formation energy without anion corrections, kJ per mole of atoms: -52

abc: 5.150 5.150 8.779
angles: 90.00 90.00 120.00
Atoms (fractional coordinates):
Ir  0.333  0.667  0.250
Ir  0.667  0.333  0.750
Pd  0.000  0.000  0.000
Pd  0.000  0.000  0.500
Rh  0.333  0.667  0.750
Rh  0.667  0.333  0.250
O  0.005  0.360  0.126
O  0.005  0.644  0.374
O  0.356  0.360  0.374
O  0.356  0.995  0.126
O  0.360  0.005  0.626
O  0.360  0.356  0.874
O  0.640  0.644  0.126
O  0.640  0.995  0.374
O  0.644  0.005  0.874
O  0.644  0.640  0.626
O  0.995  0.356  0.626
O  0.995  0.640  0.874